Entry 1:
A plane-wave DFT calculation with PBE was carried out for crystalline LiLuCdSn at its relaxed geometry.

Computed properties:
Calculated formation energy   -0.41 eV per atom

Lattice parameters (Å, degrees): 5.0485 5.0485 5.0485 60.00 60.00 60.00
With the nearest neighbours (Å) after each atom.
Fractional coordinates of all 4 atoms:
Li (0.0000, 0.0000, 0.0000)  4 Sn 3.09, 4 Cd 3.09
Lu (0.5000, 0.5000, 0.5000)  4 Cd 3.09, 4 Sn 3.09
Cd (0.7500, 0.7500, 0.7500)  4 Lu 3.09, 4 Li 3.09
Sn (0.2500, 0.2500, 0.2500)  4 Li 3.09, 4 Lu 3.09

Entry 2:
A plane-wave DFT calculation with PBE was carried out for crystalline LiTbLuCd at its relaxed geometry.

Computed properties:
Calculated formation energy   -0.11 eV per atom

Lattice parameters (Å, degrees): 5.2208 5.2208 5.2208 60.00 60.00 60.00
With the nearest neighbours (Å) after each atom.
Fractional coordinates of all 4 atoms:
Lu (0.0000, 0.0000, 0.0000)  4 Cd 3.20, 4 Li 3.20
Tb (0.5000, 0.5000, 0.5000)  4 Li 3.20, 4 Cd 3.20
Cd (0.7500, 0.7500, 0.7500)  4 Tb 3.20, 4 Lu 3.20
Li (0.2500, 0.2500, 0.2500)  4 Tb 3.20, 4 Lu 3.20